# 1
A geometry-optimized Mg2Ga2Pd structure, computed with PBE.

Unit cell a=5.593 b=5.709 c=7.270 alpha=113.12 beta=112.62 gamma=90.00
Fractional positions:
Mg 0.895 0.740 0.790
Mg 0.105 0.260 0.210
Mg 0.605 0.950 0.210
Mg 0.395 0.050 0.790
Ga 0.331 0.488 0.662
Ga 0.669 0.512 0.338
Ga 0.169 0.826 0.338
Ga 0.831 0.174 0.662
Pd 0.750 0.500 0.000
Pd 0.250 0.500 0.000

Results
* E above lowest polymorph: 0.568 eV per formula unit
* E: -3.172 eV per atom
* E_form: -0.285 eV per atom

=====

# 2
A geometry-optimized Mg2GaPd structure, computed with PBE.

Unit cell a=7.634 b=7.634 c=6.038 alpha=50.79 beta=50.79 gamma=90.00
Fractional positions:
Mg 0.661 0.125 0.250
Mg 0.089 0.625 0.250
Mg 0.375 0.339 0.750
Mg 0.875 0.911 0.750
Ga 0.500 0.500 0.000
Ga 0.250 0.750 0.500
Pd 0.000 0.000 0.000
Pd 0.750 0.250 0.500

Results
* E: -2.997 eV per atom
* E_form: -0.145 eV per atom